VASP calculation (PBEsol) on crystalline Mg5Cd3 at its relaxed geometry.

a = 8.2055 Å, b = 9.1089 Å, c = 4.5049 Å
α = 90.00°, β = 90.00°, γ = 90.00°
Space group Cmmm (No. 65)
Symmetry-distinct sites (fractional):
Mg  0.0000  0.0000  0.0000 [2 per cell]
Mg  0.2309  0.5000  0.5000 [4 per cell]
Mg  0.2500  0.2500  0.0000 [4 per cell]
Cd  0.0000  0.2322  0.5000 [4 per cell]
Cd  0.0000  0.5000  0.0000 [2 per cell]

offset from the most stable computed form = 0 meV/atom
ΔH_f (0 K) = -70.5 kJ/mol of formula units

***

VASP calculation (PBEsol) on crystalline CaNi3Pd at its relaxed geometry.

a = 4.5497 Å, b = 4.5497 Å, c = 4.5497 Å
α = 90.00°, β = 90.00°, γ = 90.00°
Space group Pm-3m (No. 221)
Symmetry-distinct sites (fractional):
Ca  0.0000  0.0000  0.0000 [1 per cell]
Ni  0.0000  0.5000  0.5000 [3 per cell]
Pd  0.5000  0.5000  0.5000 [1 per cell]

ΔH_f (0 K) = 336.5 kJ/mol of formula units

***

VASP calculation (PBEsol) on crystalline CrHg2Br at its relaxed geometry.

a = 4.6609 Å, b = 4.6609 Å, c = 8.2963 Å
α = 90.00°, β = 90.00°, γ = 90.00°
Space group I-4m2 (No. 119)
Symmetry-distinct sites (fractional):
Cr  0.0000  0.0000  0.0000 [2 per cell]
Hg  0.0000  0.0000  0.5000 [2 per cell]
Hg  0.0000  0.5000  0.2500 [2 per cell]
Br  0.0000  0.5000  0.7500 [2 per cell]

offset from the most stable computed form = 260 meV/atom

***

VASP calculation (PBEsol) on crystalline SrLa2Sc at its relaxed geometry.

a = 3.6151 Å, b = 5.0462 Å, c = 7.4864 Å
α = 90.00°, β = 90.00°, γ = 90.00°
Space group Pmm2 (No. 25)
Symmetry-distinct sites (fractional):
Sr  0.0000  0.0000  0.0000 [1 per cell]
La  0.0000  0.0000  0.5097 [1 per cell]
La  0.5000  0.5000  0.2986 [1 per cell]
Sc  0.5000  0.5000  0.7328 [1 per cell]

offset from the most stable computed form = 24 meV/atom
ΔH_f (0 K) = 68.0 kJ/mol of formula units

***

What are the uncorrected energy values for these records? In order: -1.61 -4.62 -2.97 -4.61 eV per atom.
What are the total magnetic moment values for these records? In order: 0.000 0.457 1.216 0.000 μB/atom.